Material: LaCoReSn2
Method: DFT, PBE-GGA
State: optimized geometry

Structure (POSCAR):
```
LaCoReSn2
1.0
-0.887 0.914 4.959
-0.244 -4.695 0.822
5.036 -0.100 0.919
Re Co Sn La
1 1 2 1
Direct
0.000 0.000 0.000
0.000 0.500 0.000
0.000 0.000 0.500
0.500 0.000 0.000
0.500 0.500 0.500
```

Values from the calculation:
Magnetization: 1.47 μB per formula unit
Calculated formation energy: 317 meV per atom
Crystal system: tetragonal